1.
Material: YFe3Te
Method: DFT, PBE
State: relaxed

The calculation puts the energy above the most stable polymorph in this dataset at 0.000 eV per atom.

It has space group Pm-3m (No. 221), with a = 4.696 Å, b = 4.696 Å, c = 4.696 Å, α = 90.00°, β = 90.00° and γ = 90.00°. Symmetry generates all atoms from Y at (0.000, 0.000, 0.000), Fe at (0.000, 0.500, 0.500) and Te at (0.500, 0.500, 0.500).


2.
Material: MoPtSe
Method: DFT, PBE
State: relaxed

The calculation puts the energy above the most stable polymorph in this dataset at 0.000 eV per atom.

It has space group I4mm (No. 107), with a = 2.968 Å, b = 2.968 Å, c = 12.092 Å, α = 90.00°, β = 90.00° and γ = 90.00°. Symmetry generates all atoms from Mo at (0.000, 0.000, 0.000), Pt at (0.000, 0.000, 0.354) and Se at (0.000, 0.000, 0.629).


3.
Material: LiHo2Tm3Se6
Method: DFT, PBE
State: relaxed

The total energy comes out at -5.49 eV/atom.

It has space group C2/m (No. 12), with a = 17.536 Å, b = 4.016 Å, c = 8.039 Å, α = 90.00°, β = 103.28° and γ = 90.00°. Symmetry generates all atoms from Li at (0.000, 0.000, 0.000), Ho at (0.169, 0.500, 0.341), Tm at (0.000, 0.000, 0.500), Tm at (0.167, 0.500, 0.829), Se at (0.000, 0.500, 0.244), Se at (0.164, 0.000, 0.079) and Se at (0.164, 0.000, 0.586).


4.
Material: Er2PuIn
Method: DFT, PBE
State: relaxed

For the formation energy, the calculation gives -0.0659 eV/atom. The calculation puts the energy above the most stable polymorph in this dataset at 0.080 eV per atom.

It has space group R3m (No. 160, hexagonal axes), with a = 3.4840 Å, b = 3.4840 Å, c = 32.3470 Å, α = 90.00°, β = 90.00° and γ = 120.00°. Symmetry generates all atoms from Er at (0.0000, 0.0000, 0.0000), Er at (0.0000, 0.0000, 0.1733), Pu at (0.0000, 0.0000, 0.7536) and In at (0.0000, 0.0000, 0.5866).


5.
Material: RbPtCF2
Method: DFT, PBE
State: relaxed

The total energy comes out at -3.01 eV/atom.

It has space group P4/mmm (No. 123), with a = 4.055 Å, b = 4.055 Å, c = 5.701 Å, α = 90.00°, β = 90.00° and γ = 90.00°. Symmetry generates all atoms from Rb at (0.000, 0.000, 0.000), Pt at (0.500, 0.500, 0.000), C at (0.000, 0.000, 0.500) and F at (0.000, 0.500, 0.500).


6.
Material: TbSmLuCd
Method: DFT, PBE
State: relaxed

For the formation energy, the calculation gives -0.0487 eV/atom.

It has space group F-43m (No. 216), with a = 7.708 Å, b = 7.708 Å, c = 7.708 Å, α = 90.00°, β = 90.00° and γ = 90.00°. Symmetry generates all atoms from Tb at (0.000, 0.000, 0.000), Sm at (0.000, 0.000, 0.500), Lu at (0.250, 0.250, 0.750) and Cd at (0.250, 0.250, 0.250).


7.
Material: Pm6P2PbS3
Method: DFT, PBE
State: relaxed

The total energy comes out at -6.24 eV/atom.

It has space group C2/m (No. 12), with a = 18.130 Å, b = 4.134 Å, c = 8.385 Å, α = 90.00°, β = 102.86° and γ = 90.00°. Symmetry generates all atoms from Pm at (0.003, 0.000, 0.271), Pm at (0.170, 0.500, 0.579), Pm at (0.174, 0.500, 0.096), P at (0.168, 0.000, 0.336), Pb at (0.000, 0.500, 0.000), S at (0.000, 0.500, 0.500) and S at (0.165, 0.000, 0.832).


8.
Material: Li2HfOsPt
Method: DFT, PBE
State: relaxed

For the formation energy, the calculation gives 0.7088 eV/atom.

It has space group P4/mmm (No. 123), with a = 4.431 Å, b = 4.431 Å, c = 4.891 Å, α = 90.00°, β = 90.00° and γ = 90.00°. Symmetry generates all atoms from Li at (0.000, 0.500, 0.000), Hf at (0.000, 0.000, 0.500), Os at (0.000, 0.000, 0.000) and Pt at (0.500, 0.500, 0.500).


9.
Material: TbHo2Rh
Method: DFT, PBE
State: relaxed

For the formation energy, the calculation gives -0.5340 eV/atom. The calculation puts the energy above the most stable polymorph in this dataset at 0.000 eV per atom.

It has space group Pnma (No. 62), with a = 7.154 Å, b = 9.425 Å, c = 6.307 Å, α = 90.00°, β = 90.00° and γ = 90.00°. Symmetry generates all atoms from Tb at (0.034, 0.250, 0.136), Ho at (0.177, 0.064, 0.671) and Rh at (0.117, 0.750, 0.442).


10.
Material: RbSb3Rh
Method: DFT, PBE
State: relaxed

The calculation puts the energy above the most stable polymorph in this dataset at 0.000 eV per atom.

It has space group Pm-3m (No. 221), with a = 5.345 Å, b = 5.345 Å, c = 5.345 Å, α = 90.00°, β = 90.00° and γ = 90.00°. Symmetry generates all atoms from Rb at (0.000, 0.000, 0.000), Sb at (0.000, 0.500, 0.500) and Rh at (0.500, 0.500, 0.500).


| no. | V (Å³/cell) |
| --- | --- |
| 1 | 103.53 |
| 2 | 106.55 |
| 3 | 550.93 |
| 4 | 340.04 |
| 5 | 93.73 |
| 6 | 458.01 |
| 7 | 612.76 |
| 8 | 96.02 |
| 9 | 425.26 |
| 10 | 152.72 |